First-principles (PBE) data for a relaxed structure of Sr2CdAg, as listed in Alexandria via LeMat-Bulk.

Cell lengths 5.463, 5.463, 5.463 Å; angles 60.00, 60.00, 60.00 degrees
Sites, in units of the cell vectors:
Sr 0.250 0.250 0.250
Sr 0.000 0.000 0.000
Cd 0.750 0.750 0.750
Ag 0.500 0.500 0.500

Summary:
Its total magnetization is 0.000 μB per formula unit. The value obtained for the calculated formation energy is -0.3 eV per formula unit.


First-principles (PBE) data for a relaxed structure of MgH3Rh, as listed in Alexandria via LeMat-Bulk.

Cell lengths 14.824, 4.957, 6.016 Å; angles 90.00, 157.06, 90.00 degrees
Sites, in units of the cell vectors:
H 0.950 0.333 0.450
H 0.625 0.751 0.626
H 0.800 0.006 0.302
Rh 0.134 0.336 0.635
H 0.050 0.667 0.550
Rh 0.634 0.164 0.135
Mg 0.116 0.251 0.117
Mg 0.384 0.751 0.383
H 0.875 0.251 0.874
H 0.450 0.167 0.950
H 0.550 0.833 0.050
Mg 0.884 0.749 0.883
Rh 0.866 0.664 0.365
H 0.300 0.494 0.802
Rh 0.366 0.836 0.865
H 0.200 0.994 0.698
H 0.700 0.506 0.198
Mg 0.616 0.249 0.617
H 0.125 0.749 0.126
H 0.375 0.249 0.374

Summary:
Its total magnetization is 0.000 μB per formula unit. The energy is -4.009 eV per atom.


First-principles (PBE) data for a relaxed structure of NaSn6Pd5, as listed in Alexandria via LeMat-Bulk.

Cell lengths 7.668, 5.982, 6.625 Å; angles 63.16, 81.49, 70.86 degrees
Sites, in units of the cell vectors:
Sn 0.784 0.661 0.000
Pd 0.500 0.500 0.000
Sn 0.702 0.492 0.614
Na 0.000 0.000 0.000
Sn 0.298 0.508 0.386
Pd 0.500 0.881 0.238
Sn 0.216 0.339 0.000
Sn 0.298 0.894 0.614
Pd 0.500 0.119 0.762
Pd 0.000 0.693 0.613
Sn 0.702 0.106 0.386
Pd 0.000 0.307 0.387

Summary:
Its total magnetization is 0.000 μB per formula unit. The value obtained for the calculated formation energy is -4.3 eV per formula unit.


First-principles (PBE) data for a relaxed structure of Mn2CrSb, as listed in Alexandria via LeMat-Bulk.

Cell lengths 3.107, 3.622, 5.559 Å; angles 90.00, 90.00, 90.00 degrees
Last column: magnetic moment on the atom in μB.
Sites, in units of the cell vectors:
Sb 0.500 0.500 0.250  -0.01
Cr 0.500 0.500 0.750  -2.57
Mn 0.000 0.000 0.521  3.08
Mn 0.000 0.000 0.979  3.08

Summary:
Its total magnetization is 3.637 μB per formula unit. The energy is -7.799 eV per atom.


First-principles (PBE) data for a relaxed structure of PrErTh4, as listed in Alexandria via LeMat-Bulk.

Cell lengths 6.649, 6.649, 6.649 Å; angles 60.00, 60.00, 60.00 degrees
Sites, in units of the cell vectors:
Er 0.000 0.000 0.000
Pr 0.250 0.250 0.250
Th 0.625 0.625 0.124
Th 0.625 0.625 0.625
Th 0.124 0.625 0.625
Th 0.625 0.124 0.625

Summary:
Its total magnetization is 0.000 μB per formula unit. The value obtained for the calculated formation energy is 1.6 eV per formula unit.


First-principles (PBE) data for a relaxed structure of La2MoRh, as listed in Alexandria via LeMat-Bulk.

Cell lengths 5.086, 5.086, 5.086 Å; angles 60.00, 60.00, 60.00 degrees
Sites, in units of the cell vectors:
La 0.250 0.250 0.250
La 0.750 0.750 0.750
Rh 0.500 0.500 0.500
Mo 0.000 0.000 0.000

Summary:
Its total magnetization is 0.010 μB per formula unit. The value obtained for the calculated formation energy is 0.6 eV per formula unit.


First-principles (PBE) data for a relaxed structure of LiLa2Br, as listed in Alexandria via LeMat-Bulk.

Cell lengths 6.266, 6.266, 5.118 Å; angles 79.88, 79.88, 34.73 degrees
Sites, in units of the cell vectors:
Br 0.284 0.284 0.082
La 0.735 0.735 0.602
Li 0.465 0.465 0.670
La 0.016 0.016 0.146

Summary:
Its total magnetization is 0.000 μB per formula unit. The energy is -3.855 eV per atom.


First-principles (PBE) data for a relaxed structure of MgMn2As, as listed in Alexandria via LeMat-Bulk.

Cell lengths 7.123, 7.123, 5.718 Å; angles 51.47, 51.47, 90.00 degrees
Last column: magnetic moment on the atom in μB.
Sites, in units of the cell vectors:
Mn 0.375 0.335 0.750  3.04
As 0.000 0.000 0.000  -0.13
Mg 0.500 0.500 0.000  -0.04
As 0.750 0.250 0.500  -0.13
Mn 0.875 0.915 0.750  3.03
Mg 0.250 0.750 0.500  -0.04
Mn 0.085 0.625 0.250  3.01
Mn 0.665 0.125 0.250  3.03

Summary:
Its total magnetization is 5.944 μB per formula unit. The value obtained for the calculated formation energy is 1.2 eV per formula unit.